# BeTc4Se PBE optimized geometry
data_BeTc4Se
_chemical_formula_sum 'Be4 Tc16 Se4'
_cell_length_a 7.248
_cell_length_b 7.248
_cell_length_c 7.248
_cell_angle_alpha 90.00
_cell_angle_beta 90.00
_cell_angle_gamma 90.00
_space_group_name_H-M_alt 'F -4 3 m'
_space_group_IT_number 216
_space_group_name_Hall 'F -4 2 3'
loop_
_atom_site_label
_atom_site_fract_x
_atom_site_fract_y
_atom_site_fract_z
Be1 0.000 0.000 0.000
Tc1 0.125 0.125 0.375
Se1 0.250 0.250 0.750
# Magnetic moment, Bohr magnetons per cell: 0.0
# Total DFT energy (no corrections), eV/cell: -177.659
# Formation energy (no corrections), meV/atom: 710